Entry a
Density functional theory data (PBE) for a relaxed structure of BaCaMg2.

Geometry as POSCAR:
```
BaCaMg2
1.0
1.959 1.131 11.306
-1.959 1.131 11.306
0.000 -2.262 11.306
Ba Ca Mg
1 1 2
direct
0.000 0.000 0.000
0.228 0.228 0.228
0.484 0.484 0.484
0.754 0.754 0.754
```

---

Entry b
Density functional theory data (PBE) for a relaxed structure of BaCaMg2.

Geometry as POSCAR:
```
BaCaMg2
1.0
0.000 4.159 4.159
4.159 0.000 4.159
4.159 4.159 0.000
Ba Ca Mg
1 1 2
direct
0.000 0.000 0.000
0.500 0.500 0.500
0.250 0.250 0.250
0.750 0.750 0.750
```

---

Of them, entry b has the highest stability.

---

Entry a
Density functional theory data (PBE) for a relaxed structure of BaCa2Mg2.

Geometry as POSCAR:
```
BaCa2Mg2
1.0
9.372 0.000 0.000
0.000 9.372 0.000
0.000 0.000 4.371
Ba Ca Mg
2 4 4
direct
0.000 0.000 0.000
0.500 0.500 0.000
0.165 0.335 0.500
0.335 0.835 0.500
0.665 0.165 0.500
0.835 0.665 0.500
0.122 0.622 0.000
0.378 0.122 0.000
0.622 0.878 0.000
0.878 0.378 0.000
```

---

Entry b
Density functional theory data (PBE) for a relaxed structure of BaCa2Mg2.

Geometry as POSCAR:
```
BaCa2Mg2
1.0
9.817 0.000 0.000
0.000 9.817 0.000
0.000 0.000 3.770
Ba Ca Mg
2 4 4
direct
0.000 0.000 0.000
0.500 0.500 0.000
0.128 0.372 0.000
0.372 0.872 0.000
0.628 0.128 0.000
0.872 0.628 0.000
0.166 0.666 0.500
0.334 0.166 0.500
0.666 0.834 0.500
0.834 0.334 0.500
```

---

Entry c
Density functional theory data (PBE) for a relaxed structure of BaCa2Mg2.

Geometry as POSCAR:
```
BaCa2Mg2
1.0
6.627 -2.488 0.000
6.627 2.488 0.000
-1.650 0.000 6.397
Ba Ca Mg
1 2 2
direct
0.000 0.000 0.000
0.350 0.350 0.429
0.650 0.650 0.571
0.275 0.275 0.891
0.725 0.725 0.109
```

---

Entry d
Density functional theory data (PBE) for a relaxed structure of BaCa2Mg2.

Geometry as POSCAR:
```
BaCa2Mg2
1.0
-2.428 2.428 8.498
2.428 -2.428 8.498
2.428 2.428 -8.498
Ba Ca Mg
1 2 2
direct
0.000 0.000 0.000
0.387 0.387 0.000
0.613 0.613 0.000
0.250 0.750 0.500
0.750 0.250 0.500
```

---

Of them, entry b has the highest stability.

---

Entry a
Density functional theory data (PBE) for a relaxed structure of BaCa2Mg2.

Geometry as POSCAR:
```
BaCa2Mg2
1.0
5.879 0.000 0.000
-2.940 5.092 0.000
0.000 0.000 6.764
Ba Ca Mg
1 2 2
direct
0.000 0.000 0.000
0.333 0.667 0.647
0.667 0.333 0.353
0.333 0.667 0.145
0.667 0.333 0.855
```

---

Entry b
Density functional theory data (PBE) for a relaxed structure of BaCa2Mg2.

Geometry as POSCAR:
```
BaCa2Mg2
1.0
-2.612 2.612 7.527
2.612 -2.612 7.527
2.612 2.612 -7.527
Ba Ca Mg
1 2 2
direct
0.000 0.000 0.000
0.250 0.750 0.500
0.750 0.250 0.500
0.400 0.400 0.000
0.600 0.600 0.000
```

---

Of them, entry b has the highest stability.

---

Entry a
Density functional theory data (PBE) for a relaxed structure of BaCa6Mg2.

Geometry as POSCAR:
```
BaCa6Mg2
1.0
5.378 0.000 0.000
0.000 5.378 0.000
0.000 0.000 12.948
Ba Ca Mg
1 6 2
direct
0.000 0.000 0.000
0.000 0.000 0.500
0.000 0.500 0.278
0.000 0.500 0.722
0.500 0.000 0.278
0.500 0.000 0.722
0.500 0.500 0.500
0.500 0.500 0.114
0.500 0.500 0.886
```

---

Entry b
Density functional theory data (PBE) for a relaxed structure of BaCa6Mg2.

Geometry as POSCAR:
```
BaCa6Mg2
1.0
7.051 -2.021 0.000
7.051 2.021 0.000
-4.203 0.000 12.551
Ba Ca Mg
1 6 2
direct
0.000 0.000 0.000
0.017 0.017 0.334
0.307 0.307 0.131
0.322 0.322 0.425
0.678 0.678 0.575
0.693 0.693 0.869
0.983 0.983 0.666
0.337 0.337 0.764
0.663 0.663 0.236
```

---

Of them, entry b has the highest stability.

---

Entry a
Density functional theory data (PBE) for a relaxed structure of Ba8CaMg2.

Geometry as POSCAR:
```
Ba8CaMg2
1.0
-3.149 5.370 8.656
3.149 -5.370 8.656
3.149 5.370 -8.656
Ba Ca Mg
8 1 2
direct
0.128 0.338 0.790
0.141 0.141 0.000
0.320 0.000 0.320
0.451 0.662 0.790
0.549 0.338 0.210
0.680 0.000 0.680
0.859 0.859 0.000
0.872 0.662 0.210
0.000 0.500 0.500
0.297 0.797 0.500
0.703 0.203 0.500
```

---

Entry b
Density functional theory data (PBE) for a relaxed structure of Ba8CaMg2.

Geometry as POSCAR:
```
Ba8CaMg2
1.0
5.591 -8.369 0.000
5.591 8.369 0.000
-1.950 0.000 6.638
Ba Ca Mg
8 1 2
direct
0.068 0.323 0.591
0.245 0.755 0.000
0.323 0.068 0.591
0.383 0.383 0.194
0.617 0.617 0.806
0.677 0.932 0.409
0.755 0.245 0.000
0.932 0.677 0.409
0.000 0.000 0.000
0.317 0.683 0.500
0.683 0.317 0.500
```

---

Of them, entry a has the highest stability.

---

Entry a
Density functional theory data (PBE) for a relaxed structure of BaCa6Mg.

Geometry as POSCAR:
```
BaCa6Mg
1.0
5.368 0.000 0.000
0.000 5.368 0.000
0.000 0.000 13.091
Ba Ca Mg
1 6 1
direct
0.000 0.000 0.000
0.000 0.500 0.345
0.000 0.500 0.655
0.500 0.000 0.345
0.500 0.000 0.655
0.500 0.500 0.138
0.500 0.500 0.862
0.000 0.000 0.500
```

---

Entry b
Density functional theory data (PBE) for a relaxed structure of BaCa6Mg.

Geometry as POSCAR:
```
BaCa6Mg
1.0
3.091 1.784 10.012
-3.091 1.784 10.012
0.000 -3.569 10.012
Ba Ca Mg
1 6 1
direct
0.000 0.000 0.000
0.132 0.132 0.132
0.253 0.253 0.253
0.385 0.385 0.385
0.615 0.615 0.615
0.747 0.747 0.747
0.868 0.868 0.868
0.500 0.500 0.500
```

---

Of them, entry b has the highest stability.